# 1
A plane-wave DFT calculation with PBE was carried out for LaRu2Pt after structural relaxation.

Values from the calculation:
Energy relative to the lowest polymorph listed for this composition: 210 meV/atom
Symmetry: Cm

Cell lengths 5.040, 5.040, 5.191 Å; angles 79.70, 79.70, 34.48 degrees
Fractional coordinates of all 4 atoms:
Ru 0.736 0.736 0.812
Ru 0.005 0.005 0.966
Pt 0.261 0.261 0.223
La 0.498 0.498 0.498

=====

# 2
A plane-wave DFT calculation with PBE was carried out for Zr2UGa9 after structural relaxation.

Values from the calculation:
Symmetry: P4/mmm
Electronic total energy: -5.043 eV/atom

Cell lengths 4.155, 4.155, 12.554 Å; angles 90.00, 90.00, 90.00 degrees
Last column: magnetic moment on the atom in μB.
Fractional coordinates of all 12 atoms:
Ga 0.500 0.000 0.829  0.00
Ga 0.000 0.500 0.829  0.00
Ga 0.000 0.500 0.171  0.00
Ga 0.500 0.500 0.334  0.00
Ga 0.500 0.500 0.000  0.03
Ga 0.500 0.500 0.666  0.00
Ga 0.500 0.000 0.171  0.00
Ga 0.000 0.500 0.500  0.00
Ga 0.500 0.000 0.500  0.00
Zr 0.000 0.000 0.339  -0.03
Zr 0.000 0.000 0.661  -0.03
U 0.000 0.000 0.000  1.74

=====

# 3
A plane-wave DFT calculation with PBE was carried out for Y2InGaCo after structural relaxation.

Values from the calculation:
Symmetry: P4/mmm
Electronic total energy: -5.444 eV/atom

Cell lengths 5.125, 5.125, 4.595 Å; angles 90.00, 90.00, 90.00 degrees
Fractional coordinates of all 5 atoms:
Ga 0.000 0.000 0.500
Co 0.000 0.000 0.000
Y 0.500 0.000 0.000
Y 0.000 0.500 0.000
In 0.500 0.500 0.500

=====

What did the second record say?
A plane-wave DFT calculation with PBE was carried out for Zr2UGa9 after structural relaxation.

Values from the calculation:
Symmetry: P4/mmm
Electronic total energy: -5.043 eV/atom

Cell lengths 4.155, 4.155, 12.554 Å; angles 90.00, 90.00, 90.00 degrees
Last column: magnetic moment on the atom in μB.
Fractional coordinates of all 12 atoms:
Ga 0.500 0.000 0.829  0.00
Ga 0.000 0.500 0.829  0.00
Ga 0.000 0.500 0.171  0.00
Ga 0.500 0.500 0.334  0.00
Ga 0.500 0.500 0.000  0.03
Ga 0.500 0.500 0.666  0.00
Ga 0.500 0.000 0.171  0.00
Ga 0.000 0.500 0.500  0.00
Ga 0.500 0.000 0.500  0.00
Zr 0.000 0.000 0.339  -0.03
Zr 0.000 0.000 0.661  -0.03
U 0.000 0.000 0.000  1.74